An optimized crystal structure of Ba2ZnAg10, computed with PBE.

Computed properties:
The calculation puts the density of states at the Fermi level at 4.90 states/eV/f.u. The value obtained for the energy is -2.67 eV per atom.

Cell: 6.0281 7.1375 15.1651 Å, 111.22 87.90 102.20°
Closest atoms and distances in Å follow each position.
Element x y z (fractional)
Ag  0.0197  0.4573  0.3209  1 Zn 2.62, 5 Ag 2.73-2.92
Ag  0.7574  0.3617  0.1482  7 Ag 2.86-3.07
Ag  0.9602  0.0595  0.1871  1 Zn 2.72, 6 Ag 2.79-2.93
Ag  0.1810  0.2196  0.5508  7 Ag 2.78-3.05, 1 Zn 2.81
Ag  0.9803  0.5427  0.6791  1 Zn 2.62, 5 Ag 2.73-2.92
Ag  0.4201  0.2849  0.7305  7 Ag 2.87-3.07
Ag  0.9024  0.0992  0.3801  1 Zn 2.73, 7 Ag 2.78-2.96
Ag  0.0976  0.9008  0.6199  1 Zn 2.73, 7 Ag 2.78-2.96
Ag  0.9067  0.2317  0.7478  5 Ag 2.73-3.05
Ag  0.3339  0.8281  0.4401  8 Ag 2.87-3.09, 1 Zn 3.13
Ag  0.5799  0.7151  0.2695  7 Ag 2.87-3.07
Ag  0.7373  0.6283  0.8668  1 Zn 2.86, 7 Ag 2.91-3.11
Ag  0.2426  0.6383  0.8518  7 Ag 2.86-3.07
Ag  0.6661  0.1719  0.5599  8 Ag 2.87-3.09, 1 Zn 3.13
Ag  0.0933  0.7683  0.2522  5 Ag 2.73-3.05
Ag  0.8978  0.6535  0.0573  5 Ag 2.75-3.01, 1 Zn 2.85
Ag  0.1022  0.3465  0.9427  5 Ag 2.75-3.01, 1 Zn 2.85
Ag  0.0398  0.9405  0.8129  1 Zn 2.72, 6 Ag 2.79-2.93
Ag  0.2627  0.3717  0.1332  1 Zn 2.86, 7 Ag 2.91-3.11
Ag  0.8190  0.7804  0.4492  7 Ag 2.78-3.05, 1 Zn 2.81
Ba  0.4415  0.8307  0.0801  8 Ag 3.22-3.59, 1 Zn 3.56
Ba  0.5585  0.1693  0.9199  8 Ag 3.22-3.59, 1 Zn 3.56
Ba  0.4612  0.2774  0.3490  10 Ag 3.29-3.67
Ba  0.5388  0.7226  0.6510  10 Ag 3.29-3.67
Zn  0.0000  0.0000  0.0000  6 Ag 2.72-2.86
Zn  0.0000  0.5000  0.5000  6 Ag 2.62-2.81

***

An optimized crystal structure of Ba2ZnAg, computed with PBE.

Computed properties:
The calculation puts the density of states at the Fermi level at 4.26 states/eV/f.u. The value obtained for the energy is -1.42 eV per atom.

Cell: 7.7617 7.7617 7.7617 Å, 149.94 62.44 126.67°
Closest atoms and distances in Å follow each position.
Element x y z (fractional)
Ba  0.7466  0.0000  0.7466  1 Ag 3.27, 1 Zn 3.36
Ba  0.2534  0.0000  0.2534  1 Ag 3.27, 1 Zn 3.36
Zn  0.0000  0.0000  0.0000  2 Ba 3.36
Ag  0.5000  0.0000  0.5000  2 Ba 3.27

***

An optimized crystal structure of BaZn2Ag9, computed with PBE.

Computed properties:
The calculation puts the density of states at the Fermi level at 4.34 states/eV/f.u. The value obtained for the energy is -2.61 eV per atom. The value obtained for the energy above the most stable polymorph in this dataset is 0.00 eV/f.u.

Cell: 7.3886 8.8943 8.8943 Å, 80.07 65.46 65.46°
Closest atoms and distances in Å follow each position.
Element x y z (fractional)
Zn  0.8750  0.2500  0.7500  10 Ag 2.74-3.01
Zn  0.8750  0.2500  0.2500  10 Ag 2.74-3.01
Zn  0.3750  0.7500  0.7500  10 Ag 2.74-3.01
Zn  0.8750  0.7500  0.2500  10 Ag 2.74-3.01
Ag  0.4408  0.4178  0.8275  2 Zn 2.74-2.80, 8 Ag 2.81-3.06
Ag  0.7317  0.8275  0.5822  2 Zn 2.74-2.80, 8 Ag 2.81-3.06
Ag  0.3092  0.6725  0.0822  2 Zn 2.74-2.80, 8 Ag 2.81-3.06
Ag  0.6086  0.3275  0.0822  2 Zn 2.74-2.80, 8 Ag 2.81-3.06
Ag  0.7317  0.5822  0.8275  2 Zn 2.74-2.80, 8 Ag 2.81-3.06
Ag  0.0183  0.9178  0.6725  2 Zn 2.74-2.80, 8 Ag 2.81-3.06
Ag  0.0639  0.9178  0.3275  2 Zn 2.74-2.80, 8 Ag 2.81-3.06
Ag  0.7500  0.5000  0.5000  4 Zn 3.01, 8 Ag 3.06
Ag  0.6861  0.1725  0.5822  2 Zn 2.74-2.80, 8 Ag 2.81-3.06
Ag  0.4408  0.8275  0.4178  2 Zn 2.74-2.80, 8 Ag 2.81-3.06
Ag  0.6861  0.5822  0.1725  2 Zn 2.74-2.80, 8 Ag 2.81-3.06
Ag  0.6086  0.0822  0.3275  2 Zn 2.74-2.80, 8 Ag 2.81-3.06
Ag  0.0000  0.0000  0.0000  4 Zn 3.01, 8 Ag 3.06
Ag  0.0183  0.6725  0.9178  2 Zn 2.74-2.80, 8 Ag 2.81-3.06
Ag  0.0639  0.3275  0.9178  2 Zn 2.74-2.80, 8 Ag 2.81-3.06
Ag  0.1414  0.1725  0.4178  2 Zn 2.74-2.80, 8 Ag 2.81-3.06
Ag  0.3092  0.0822  0.6725  2 Zn 2.74-2.80, 8 Ag 2.81-3.06
Ag  0.1414  0.4178  0.1725  2 Zn 2.74-2.80, 8 Ag 2.81-3.06
Ba  0.2500  0.5000  0.5000  18 Ag 3.58-3.69, 4 Zn 3.98
Ba  0.5000  0.0000  0.0000  18 Ag 3.58-3.69, 4 Zn 3.98

***

An optimized crystal structure of Ba2ZnAg, computed with PBE.

Computed properties:
The calculation puts the density of states at the Fermi level at 3.01 states/eV/f.u. The value obtained for the energy is -2.21 eV per atom.

Cell: 4.9235 4.7776 6.7075 Å, 69.14 90.00 90.00°
Closest atoms and distances in Å follow each position.
Element x y z (fractional)
Ba  0.5000  0.2643  0.3452  3 Ag 3.44-3.79, 4 Zn 3.57-3.58
Ba  0.0000  0.9842  0.9074  3 Zn 3.47-3.75, 4 Ag 3.58-3.59
Ag  0.5000  0.5670  0.7413  2 Zn 2.87
Zn  0.0000  0.6845  0.5061  2 Ag 2.87

***

An optimized crystal structure of BaZn6Ag2, computed with PBE.

Computed properties:
The calculation puts the density of states at the Fermi level at 4.42 states/eV/f.u. The value obtained for the energy is -1.75 eV per atom.

Cell: 4.5251 7.2150 7.2150 Å, 59.35 71.51 71.51°
Closest atoms and distances in Å follow each position.
Element x y z (fractional)
Zn  0.2870  0.9112  0.5150  3 Zn 2.49-2.53
Zn  0.7130  0.4850  0.0888  3 Zn 2.49-2.53
Zn  0.7130  0.0888  0.4850  3 Zn 2.49-2.53
Zn  0.2870  0.5150  0.9112  3 Zn 2.49-2.53
Zn  0.5000  0.3285  0.6715  3 Zn 2.45-2.49
Zn  0.5000  0.6715  0.3285  3 Zn 2.45-2.49
Ag  0.1328  0.3671  0.3671  10 Zn 2.81-3.01, 1 Ag 3.10
Ag  0.8672  0.6329  0.6329  10 Zn 2.81-3.01, 1 Ag 3.10
Ba  0.0000  0.0000  0.0000  8 Zn 3.26-3.64

***

An optimized crystal structure of Ba3Zn2Ag, computed with PBE.

Computed properties:
The calculation puts the density of states at the Fermi level at 5.47 states/eV/f.u. The value obtained for the energy is -2.04 eV per atom.

Cell: 4.0927 4.0927 12.4601 Å, 90.00 90.00 90.00°
Closest atoms and distances in Å follow each position.
Element x y z (fractional)
Ba  0.0000  0.0000  0.0000  8 Zn 3.56
Ba  0.0000  0.0000  0.3319  4 Zn 3.56, 4 Ag 3.57
Ba  0.0000  0.0000  0.6681  4 Zn 3.56, 4 Ag 3.57
Zn  0.5000  0.5000  0.1658  8 Ba 3.56
Zn  0.5000  0.5000  0.8342  8 Ba 3.56
Ag  0.5000  0.5000  0.5000  8 Ba 3.57

***

An optimized crystal structure of Ba2ZnAg, computed with PBE.

Computed properties:
The calculation puts the density of states at the Fermi level at 4.94 states/eV/f.u. The value obtained for the energy is -2.05 eV per atom.

Cell: 4.6831 4.6831 9.0474 Å, 75.00 75.00 60.00°
Closest atoms and distances in Å follow each position.
Element x y z (fractional)
Ba  0.2504  0.2504  0.2489  3 Zn 3.45, 3 Ag 3.45
Ba  0.0823  0.0823  0.7531  3 Zn 3.45, 3 Ag 3.49
Zn  0.6663  0.6663  0.0010  6 Ba 3.45
Ag  0.5010  0.5010  0.4969  6 Ba 3.45-3.49

***

An optimized crystal structure of BaZn3Ag9, computed with PBE.

Computed properties:
The calculation puts the density of states at the Fermi level at 4.53 states/eV/f.u. The value obtained for the energy is -2.51 eV per atom.

Cell: 5.4248 7.0872 7.4525 Å, 83.31 68.66 71.32°
Closest atoms and distances in Å follow each position.
Element x y z (fractional)
Ag  0.3263  0.6530  0.6393  7 Ag 2.85-3.07, 3 Zn 2.86-3.13
Ag  0.0343  0.3471  0.6393  7 Ag 2.85-3.07, 3 Zn 2.86-3.13
Ag  0.0000  0.5000  0.0000  2 Zn 2.71, 8 Ag 2.91-2.94
Ag  0.6737  0.3471  0.3607  7 Ag 2.85-3.07, 3 Zn 2.86-3.13
Ag  0.9657  0.6530  0.3607  7 Ag 2.85-3.07, 3 Zn 2.86-3.13
Ag  0.7091  0.7735  0.7688  3 Zn 2.69-2.77, 4 Ag 2.91-2.98
Ag  0.4779  0.7735  0.2312  3 Zn 2.69-2.77, 4 Ag 2.91-2.98
Ag  0.5221  0.2265  0.7688  3 Zn 2.69-2.77, 4 Ag 2.91-2.98
Ag  0.2909  0.2265  0.2312  3 Zn 2.69-2.77, 4 Ag 2.91-2.98
Zn  0.5000  0.5000  0.0000  6 Ag 2.69-2.71
Zn  0.0000  0.0000  0.5000  2 Zn 2.71, 8 Ag 2.76-2.87
Zn  0.5000  0.0000  0.5000  2 Zn 2.71, 8 Ag 2.76-2.87
Ba  0.0000  0.0000  0.0000  14 Ag 3.42-3.54, 6 Zn 3.71-3.73

***

An optimized crystal structure of Ba3Zn6Ag5, computed with PBE.

Computed properties:
The calculation puts the density of states at the Fermi level at 6.60 states/eV/f.u. The value obtained for the energy is -2.15 eV per atom.

Cell: 4.7232 10.1050 13.8940 Å, 90.00 90.00 90.00°
Closest atoms and distances in Å follow each position.
Element x y z (fractional)
Ba  0.0000  0.2532  0.3068  8 Zn 3.37-3.70, 7 Ag 3.38-3.69
Ba  0.0000  0.2471  0.0000  6 Ag 3.31-3.57, 6 Zn 3.37-3.68
Ba  0.5000  0.7468  0.1932  8 Zn 3.37-3.70, 7 Ag 3.38-3.69
Ba  0.0000  0.2532  0.6932  8 Zn 3.37-3.70, 7 Ag 3.38-3.69
Ba  0.5000  0.7468  0.8068  8 Zn 3.37-3.70, 7 Ag 3.38-3.69
Ba  0.5000  0.7529  0.5000  6 Ag 3.31-3.57, 6 Zn 3.37-3.68
Ag  0.5000  0.2254  0.5000  4 Zn 2.75-3.02, 2 Ag 2.95
Ag  0.0000  0.5316  0.8825  5 Zn 2.80-3.03, 1 Ag 2.95
Ag  0.0000  0.8902  0.6646  5 Zn 2.74-2.94
Ag  0.0000  0.5316  0.1175  5 Zn 2.80-3.03, 1 Ag 2.95
Ag  0.0000  0.8902  0.3354  5 Zn 2.74-2.94
Ag  0.5000  0.4684  0.3825  5 Zn 2.80-3.03, 1 Ag 2.95
Ag  0.5000  0.4684  0.6175  5 Zn 2.80-3.03, 1 Ag 2.95
Ag  0.5000  0.1098  0.8354  5 Zn 2.74-2.94
Ag  0.5000  0.1098  0.1646  5 Zn 2.74-2.94
Ag  0.0000  0.7746  0.0000  4 Zn 2.75-3.02, 2 Ag 2.95
Zn  0.5000  0.4009  0.8299  1 Zn 2.72, 4 Ag 2.80-3.03
Zn  0.0000  0.5991  0.6701  1 Zn 2.72, 4 Ag 2.80-3.03
Zn  0.5000  0.0282  0.6362  4 Ag 2.75-2.89, 2 Zn 3.03
Zn  0.0000  0.9718  0.8638  4 Ag 2.75-2.89, 2 Zn 3.03
Zn  0.5000  0.5345  0.0000  2 Zn 2.72, 4 Ag 2.87
Zn  0.0000  0.9718  0.1362  4 Ag 2.75-2.89, 2 Zn 3.03
Zn  0.5000  0.0282  0.3638  4 Ag 2.75-2.89, 2 Zn 3.03
Zn  0.0000  0.5991  0.3299  1 Zn 2.72, 4 Ag 2.80-3.03
Zn  0.0000  0.0388  0.5000  4 Ag 2.74-3.02, 4 Zn 3.03
Zn  0.0000  0.4655  0.5000  2 Zn 2.72, 4 Ag 2.87
Zn  0.5000  0.4009  0.1701  1 Zn 2.72, 4 Ag 2.80-3.03
Zn  0.5000  0.9612  0.0000  4 Ag 2.74-3.02, 4 Zn 3.03

***

An optimized crystal structure of BaZnAg2, computed with PBE.

Computed properties:
The calculation puts the density of states at the Fermi level at 0.95 states/eV/f.u. The value obtained for the energy is -2.26 eV per atom.

Cell: 5.2882 5.2882 5.2882 Å, 119.88 119.88 90.22°
Closest atoms and distances in Å follow each position.
Element x y z (fractional)
Zn  0.7500  0.2500  0.5000  4 Ag 3.24, 4 Ba 3.24
Ba  0.5000  0.5000  0.0000  4 Ag 3.24, 4 Zn 3.24
Ag  0.0000  0.0000  0.0000  4 Zn 3.24, 4 Ag 3.24
Ag  0.2500  0.7500  0.5000  4 Ba 3.24, 4 Ag 3.24

***

For the records above, the corresponding DFT formation energy values read -84.9, 568.0, -97.9, -217.2, -50.6, -180.0, -59.8, -92.3, -175.5, -37.0 meV per atom.